This record from the Alexandria database describes crystalline Ac3Ga9Os2 at its relaxed geometry. The functional is PBE-GGA.

Cell lengths 8.564, 8.564, 8.564 Å; angles 149.79, 109.84, 78.25 degrees
Sites, in units of the cell vectors:
Ac 0.000 0.000 0.000
Ac 0.297 0.297 0.000
Ac 0.703 0.703 0.000
Ga 0.003 0.649 0.354
Ga 0.163 0.878 0.284
Ga 0.296 0.649 0.646
Ga 0.406 0.122 0.284
Ga 0.500 0.000 0.500
Ga 0.594 0.878 0.716
Ga 0.704 0.351 0.354
Ga 0.837 0.122 0.716
Ga 0.997 0.351 0.646
Os 0.323 0.500 0.823
Os 0.677 0.500 0.177

Computed properties:
Its magnetic moment is 0.00 Bohr magnetons per cell. The calculation puts the energy relative to the elements at -361 meV per atom. As for the space group: Immm, No. 71.

***

This record from the Alexandria database describes crystalline Ac3GaOs at its relaxed geometry. The functional is PBE-GGA.

Cell lengths 8.959, 8.959, 9.037 Å; angles 91.77, 91.77, 28.02 degrees
Sites, in units of the cell vectors:
Ac 0.000 0.000 0.000
Ac 0.158 0.158 0.623
Ac 0.356 0.356 0.747
Ac 0.514 0.514 0.371
Ac 0.705 0.705 0.998
Ac 0.809 0.809 0.372
Ga 0.154 0.154 0.260
Ga 0.360 0.360 0.111
Os 0.530 0.530 0.724
Os 0.984 0.984 0.647

Computed properties:
Its magnetic moment is 0.00 Bohr magnetons per cell. The calculation puts the energy relative to the elements at -133 meV per atom. The excess energy over the best structure of this formula in the dataset is 0 meV/atom. As for the space group: Cm, No. 8.